Entry 1:
This record from Alexandria describes a relaxed Pm2Al4CdCu3 crystal. The functional is GGA-PBE.

- E_tot (eV/atom) = -4.145
- energy of formation (eV/atom) = -0.38
- density of states at the Fermi level (states/eV/atom) = 0.528
- M_tot (μB/atom) = 0.00
- space group = P-4m2 (115)

a = 4.259 Å, b = 4.259 Å, c = 10.502 Å
α = 90.00°, β = 90.00°, γ = 90.00°
Element x y z (fractional)
Pm1 0.000 0.500 0.241
Pm2 0.500 0.000 0.759
Al1 0.000 0.000 0.000
Al2 0.000 0.500 0.649
Al3 0.500 0.000 0.351
Al4 0.500 0.500 0.000
Cd1 0.000 0.000 0.500
Cu1 0.000 0.500 0.877
Cu2 0.500 0.000 0.123
Cu3 0.500 0.500 0.500

=====

Entry 2:
This record from Alexandria describes a relaxed Na4LaPu3Se8 crystal. The functional is GGA-PBE.

- E_tot (eV/atom) = -6.554
- density of states at the Fermi level (states/eV/atom) = 2.100
- M_tot (μB/atom) = 0.94
- space group = R-3m (166)

a = 8.502 Å, b = 8.502 Å, c = 8.502 Å
α = 60.16°, β = 60.16°, γ = 60.16°
Element x y z (fractional)
Na1 0.000 0.000 0.000
Na2 0.000 0.500 0.500
Na3 0.500 0.000 0.500
Na4 0.500 0.500 0.000
La1 0.500 0.500 0.500
Pu1 0.000 0.000 0.500
Pu2 0.000 0.500 0.000
Pu3 0.500 0.000 0.000
Se1 0.237 0.749 0.749
Se2 0.242 0.242 0.242
Se3 0.251 0.251 0.763
Se4 0.251 0.763 0.251
Se5 0.749 0.237 0.749
Se6 0.749 0.749 0.237
Se7 0.758 0.758 0.758
Se8 0.763 0.251 0.251

=====

Entry 3:
This record from Alexandria describes a relaxed AcY2Er crystal. The functional is GGA-PBE.

- energy above the lowest structure with this stoichiometry (kJ/mol of atoms) = 13.6
- E_tot (eV/atom) = -5.214
- energy of formation (eV/atom) = 0.19
- density of states at the Fermi level (states/eV/atom) = 1.527
- M_tot (μB/atom) = 0.00
- space group = R-3m (166)

a = 12.855 Å, b = 12.855 Å, c = 12.855 Å
α = 16.01°, β = 16.01°, γ = 16.01°
Element x y z (fractional)
Ac1 0.000 0.000 0.000
Y1 0.093 0.093 0.093
Y2 0.907 0.907 0.907
Er1 0.500 0.500 0.500